Entry a
## Hf2UIr (PBE-GGA)

Data for Hf2UIr after structural relaxation.

Lattice parameters (Å, degrees): 6.751 6.751 6.751 90.00 90.00 90.00
Space group Fm-3m (No. 225)
One atom of each set of equivalent atoms:
Hf 0.250 0.250 0.250 (multiplicity 8)
U 0.000 0.000 0.000 (multiplicity 4)
Ir 0.000 0.000 0.500 (multiplicity 4)

As for the density of states at the Fermi level: 6.04 states/eV/f.u. The magnetic moment comes out at 0.450 μB/atom.



Entry b
## Hf2UIr (PBE-GGA)

Data for Hf2UIr after structural relaxation.

Lattice parameters (Å, degrees): 4.971 4.971 3.103 90.00 90.00 90.00
Space group P4/mmm (No. 123)
One atom of each set of equivalent atoms:
Hf 0.000 0.500 0.000 (multiplicity 2)
U 0.000 0.000 0.500 (multiplicity 1)
Ir 0.500 0.500 0.500 (multiplicity 1)

As for the density of states at the Fermi level: 7.00 states/eV/f.u. The magnetic moment comes out at 0.216 μB/atom.



It is entry a that is the least stable of them.



Entry a
## HfV2Ir2 (PBE-GGA)

Data for HfV2Ir2 after structural relaxation.

Lattice parameters (Å, degrees): 7.433 7.433 2.846 90.00 90.00 90.00
Space group P4/mbm (No. 127)
One atom of each set of equivalent atoms:
Hf 0.000 0.000 0.000 (multiplicity 2)
V 0.163 0.337 0.500 (multiplicity 4)
Ir 0.133 0.633 0.000 (multiplicity 4)

As for the density of states at the Fermi level: 8.05 states/eV/f.u. The magnetic moment comes out at 0.036 μB/atom.



Entry b
## HfV2Ir2 (PBE-GGA)

Data for HfV2Ir2 after structural relaxation.

Lattice parameters (Å, degrees): 7.437 7.437 2.803 90.00 90.00 90.00
Space group P4/mbm (No. 127)
One atom of each set of equivalent atoms:
Hf 0.000 0.000 0.000 (multiplicity 2)
V 0.149 0.351 0.000 (multiplicity 4)
Ir 0.149 0.649 0.500 (multiplicity 4)

As for the density of states at the Fermi level: 5.05 states/eV/f.u. The magnetic moment comes out at 0.000 μB/atom.



It is entry a that is the least stable of them.



Entry a
## HfIr2W (PBE-GGA)

Data for HfIr2W after structural relaxation.

Lattice parameters (Å, degrees): 6.432 6.432 6.432 90.00 90.00 90.00
Space group Fm-3m (No. 225)
One atom of each set of equivalent atoms:
Hf 0.000 0.000 0.000 (multiplicity 4)
Ir 0.250 0.250 0.250 (multiplicity 8)
W 0.000 0.000 0.500 (multiplicity 4)

As for the density of states at the Fermi level: 6.40 states/eV/f.u. The magnetic moment comes out at 0.000 μB/atom.



Entry b
## HfIr2W (PBE-GGA)

Data for HfIr2W after structural relaxation.

Lattice parameters (Å, degrees): 4.165 4.165 17.205 90.00 90.00 90.00
Space group I-42d (No. 122)
One atom of each set of equivalent atoms:
Hf 0.000 0.000 0.000 (multiplicity 4)
Ir 0.230 0.250 0.625 (multiplicity 8)
W 0.000 0.000 0.500 (multiplicity 4)

As for the density of states at the Fermi level: 1.57 states/eV/f.u. The magnetic moment comes out at 0.000 μB/atom.



It is entry b that is the least stable of them.



Entry a
## HfIrW3 (PBE-GGA)

Data for HfIrW3 after structural relaxation.

Lattice parameters (Å, degrees): 4.695 4.695 4.695 90.00 90.00 90.00
Space group Pm-3m (No. 221)
One atom of each set of equivalent atoms:
Hf 0.000 0.000 0.000 (multiplicity 1)
Ir 0.500 0.500 0.500 (multiplicity 1)
W 0.000 0.000 0.500 (multiplicity 3)

As for the density of states at the Fermi level: 4.03 states/eV/f.u. The magnetic moment comes out at 0.000 μB/atom.



Entry b
## HfIrW3 (PBE-GGA)

Data for HfIrW3 after structural relaxation.

Lattice parameters (Å, degrees): 4.750 4.750 4.750 90.00 90.00 90.00
Space group Pm-3m (No. 221)
One atom of each set of equivalent atoms:
Hf 0.000 0.000 0.000 (multiplicity 1)
Ir 0.500 0.500 0.500 (multiplicity 1)
W 0.000 0.500 0.500 (multiplicity 3)

As for the density of states at the Fermi level: 7.65 states/eV/f.u. The magnetic moment comes out at 0.000 μB/atom.



It is entry a that is the least stable of them.



Entry a
## HfZn2Ir2 (PBE-GGA)

Data for HfZn2Ir2 after structural relaxation.

Lattice parameters (Å, degrees): 3.434 3.434 13.862 90.00 90.00 90.00
Space group I4/mmm (No. 139)
One atom of each set of equivalent atoms:
Hf 0.000 0.000 0.000 (multiplicity 2)
Zn 0.000 0.500 0.250 (multiplicity 4)
Ir 0.000 0.000 0.398 (multiplicity 4)

As for the density of states at the Fermi level: 1.18 states/eV/f.u. The magnetic moment comes out at 0.000 μB/atom.



Entry b
## HfZn2Ir2 (PBE-GGA)

Data for HfZn2Ir2 after structural relaxation.

Lattice parameters (Å, degrees): 7.251 7.251 2.944 90.00 90.00 90.00
Space group P4/mbm (No. 127)
One atom of each set of equivalent atoms:
Hf 0.000 0.000 0.000 (multiplicity 2)
Zn 0.118 0.382 0.000 (multiplicity 4)
Ir 0.181 0.681 0.500 (multiplicity 4)

As for the density of states at the Fermi level: 3.43 states/eV/f.u. The magnetic moment comes out at 0.000 μB/atom.



Entry c
## HfZn2Ir2 (PBE-GGA)

Data for HfZn2Ir2 after structural relaxation.

Lattice parameters (Å, degrees): 7.195 7.195 3.074 90.00 90.00 90.00
Space group P4/mbm (No. 127)
One atom of each set of equivalent atoms:
Hf 0.000 0.000 0.000 (multiplicity 2)
Zn 0.154 0.346 0.500 (multiplicity 4)
Ir 0.143 0.643 0.000 (multiplicity 4)

As for the density of states at the Fermi level: 1.78 states/eV/f.u. The magnetic moment comes out at 0.000 μB/atom.



It is entry c that is the least stable of them.



Entry a
## Hf3ZnIr (PBE-GGA)

Data for Hf3ZnIr after structural relaxation.

Lattice parameters (Å, degrees): 5.015 5.015 5.015 90.00 90.00 90.00
Space group Pm-3m (No. 221)
One atom of each set of equivalent atoms:
Hf 0.000 0.000 0.500 (multiplicity 3)
Zn 0.500 0.500 0.500 (multiplicity 1)
Ir 0.000 0.000 0.000 (multiplicity 1)

As for the density of states at the Fermi level: 9.25 states/eV/f.u. The magnetic moment comes out at 0.000 μB/atom.



Entry b
## Hf3ZnIr (PBE-GGA)

Data for Hf3ZnIr after structural relaxation.

Lattice parameters (Å, degrees): 16.233 9.406 5.254 90.00 102.06 90.00
Space group C2/c (No. 15)
One atom of each set of equivalent atoms:
Hf 0.061 0.108 0.023 (multiplicity 8)
Hf 0.159 0.209 0.601 (multiplicity 8)
Hf 0.159 0.401 0.093 (multiplicity 8)
Zn 0.000 0.359 0.250 (multiplicity 4)
Zn 0.000 0.368 0.750 (multiplicity 4)
Ir 0.224 0.092 0.218 (multiplicity 8)

As for the density of states at the Fermi level: 4.25 states/eV/f.u. The magnetic moment comes out at 0.000 μB/atom.



It is entry a that is the least stable of them.